# Cs2Rb7O2, optimized geometry, DFT PBE
# magnetic moment = 0.0000 μB per atom
# ρ = 1.76 g cm⁻³
# E_form (uncorrected) = -46.98 kJ/mol of atoms
data_Cs2Rb7O2
_space_group_name_H-M_alt 'C 1 2/m 1'
_space_group_IT_number 12
_cell_length_a 8.9496
_cell_length_b 15.8274
_cell_length_c 12.4742
_cell_angle_alpha 90.00
_cell_angle_beta 106.75
_cell_angle_gamma 90.00
loop_
_space_group_symop_operation_xyz
'x,y,z'
'-x,-y,-z'
'-x,y,-z'
'x,-y,z'
'x+1/2,y+1/2,z'
'-x+1/2,-y+1/2,-z'
'-x+1/2,y+1/2,-z'
'x+1/2,-y+1/2,z'
loop_
_atom_site_label
_atom_site_type_symbol
_atom_site_fract_x
_atom_site_fract_y
_atom_site_fract_z
Cs1 Cs 0.0000 0.1549 0.0000
Rb1 Rb 0.0000 0.0000 0.5000
Rb2 Rb 0.1535 0.5000 0.6252
Rb3 Rb 0.1680 0.3577 0.3124
O1 O 0.1712 0.5000 0.4149